1.
DFT (PBE) results for a geometry-optimized Y2MgCo structure.

Cell lengths 5.605, 5.605, 5.605 Å; angles 139.69, 122.30, 72.72 degrees
Element x y z (fractional)
1 Y 0.200 0.200 0.000
2 Y 0.800 0.800 0.000
3 Mg 0.500 0.000 0.500
4 Co 0.000 0.500 0.500

2.
DFT (PBE) results for a geometry-optimized YMgCo2 structure.

Cell lengths 3.114, 3.114, 7.381 Å; angles 90.00, 90.00, 90.00 degrees
Element x y z (fractional)
1 Y 0.000 0.000 0.000
2 Mg 0.500 0.500 0.633
3 Co 0.000 0.000 0.401
4 Co 0.500 0.500 0.263

3.
DFT (PBE) results for a geometry-optimized YMgCo structure.

Cell lengths 4.672, 4.672, 4.672 Å; angles 60.00, 60.00, 60.00 degrees
Element x y z (fractional)
1 Y 0.000 0.000 0.000
2 Mg 0.750 0.750 0.750
3 Co 0.250 0.250 0.250

4.
DFT (PBE) results for a geometry-optimized Y2MgCo structure.

Cell lengths 6.474, 6.474, 6.474 Å; angles 102.92, 102.92, 123.55 degrees
Element x y z (fractional)
1 Y 0.052 0.625 0.927
2 Y 0.375 0.302 0.427
3 Y 0.698 0.125 0.073
4 Y 0.875 0.948 0.573
5 Mg 0.250 0.750 0.500
6 Mg 0.500 0.500 0.000
7 Co 0.000 0.000 0.000
8 Co 0.750 0.250 0.500

5.
DFT (PBE) results for a geometry-optimized Y2MgCo structure.

Cell lengths 6.324, 6.324, 6.324 Å; angles 149.24, 133.44, 56.85 degrees
Element x y z (fractional)
1 Y 0.000 0.000 0.000
2 Y 0.697 0.197 0.500
3 Mg 0.312 0.812 0.500
4 Co 0.501 0.501 0.000

6.
DFT (PBE) results for a geometry-optimized Y2Mg3Co2 structure.

Calculated values
Distance to the lowest polymorph of the same formula   0.0 meV/atom

Cell lengths 10.568, 10.568, 3.864 Å; angles 90.00, 90.00, 159.27 degrees
Element x y z (fractional)
1 Y 0.176 0.824 0.000
2 Y 0.824 0.176 0.000
3 Mg 0.000 0.000 0.000
4 Mg 0.419 0.581 0.500
5 Mg 0.581 0.419 0.500
6 Co 0.280 0.720 0.500
7 Co 0.720 0.280 0.500

7.
DFT (PBE) results for a geometry-optimized YMg3Co8 structure.

Cell lengths 8.536, 8.536, 8.536 Å; angles 33.39, 33.39, 33.39 degrees
Element x y z (fractional)
1 Y 0.000 0.000 0.000
2 Mg 0.127 0.127 0.127
3 Mg 0.499 0.499 0.499
4 Mg 0.619 0.619 0.619
5 Co 0.062 0.062 0.556
6 Co 0.062 0.556 0.062
7 Co 0.066 0.563 0.563
8 Co 0.312 0.312 0.312
9 Co 0.556 0.062 0.062
10 Co 0.563 0.066 0.563
11 Co 0.563 0.563 0.066
12 Co 0.813 0.813 0.813

8.
DFT (PBE) results for a geometry-optimized Mg3ZnCo structure.

Calculated values
Distance to the lowest polymorph of the same formula   342.4 meV/atom

Cell lengths 4.876, 4.876, 4.876 Å; angles 90.00, 90.00, 90.00 degrees
Element x y z (fractional)
1 Mg 0.000 0.000 0.500
2 Mg 0.000 0.500 0.000
3 Mg 0.500 0.000 0.000
4 Zn 0.000 0.000 0.000
5 Co 0.500 0.500 0.500

9.
DFT (PBE) results for a geometry-optimized Mg2ZnCo structure.

Cell lengths 3.054, 3.054, 7.003 Å; angles 90.00, 90.00, 90.00 degrees
Element x y z (fractional)
1 Mg 0.000 0.000 0.000
2 Mg 0.500 0.500 0.339
3 Zn 0.000 0.000 0.603
4 Co 0.500 0.500 0.775

10.
DFT (PBE) results for a geometry-optimized Mg2ZnCo structure.

Cell lengths 5.707, 5.707, 5.707 Å; angles 102.79, 102.79, 123.85 degrees
Element x y z (fractional)
1 Mg 0.106 0.125 0.481
2 Mg 0.375 0.894 0.019
3 Mg 0.644 0.625 0.519
4 Mg 0.875 0.356 0.981
5 Zn 0.250 0.750 0.500
6 Zn 0.500 0.500 0.000
7 Co 0.000 0.000 0.000
8 Co 0.750 0.250 0.500

11.
DFT (PBE) results for a geometry-optimized Mg2ZnCo3 structure.

Cell lengths 4.856, 4.856, 4.963 Å; angles 119.16, 119.16, 60.31 degrees
Element x y z (fractional)
1 Mg 0.120 0.120 0.361
2 Mg 0.880 0.880 0.639
3 Zn 0.500 0.500 0.500
4 Co 0.000 0.500 0.000
5 Co 0.500 0.000 0.000
6 Co 0.500 0.500 0.000

12.
DFT (PBE) results for a geometry-optimized Mg2ZnCo structure.

Cell lengths 5.302, 5.302, 4.443 Å; angles 114.38, 114.38, 33.98 degrees
Element x y z (fractional)
1 Mg 0.000 0.000 0.000
2 Mg 0.214 0.214 0.712
3 Zn 0.772 0.772 0.269
4 Co 0.478 0.478 0.479

no.,DFT formation energy (eV/atom),total moment (μB/cell)
1,0.01,0.00
2,0.08,2.85
3,0.78,0.00
4,0.20,0.00
5,-0.01,0.24
6,-0.15,0.95
7,-0.08,10.86
8,0.73,2.18
9,0.02,0.00
10,0.36,1.62
11,-0.05,3.78
12,0.00,0.00